No. 1
## VGaF2 (PBE with a Hubbard U)

Data for a relaxed VGaF2 crystal.

```
data_VGaF2
_chemical_formula_sum 'V4 Ga4 F8'
_cell_length_a 4.9978
_cell_length_b 4.9978
_cell_length_c 12.2477
_cell_angle_alpha 90.00
_cell_angle_beta 90.00
_cell_angle_gamma 90.00
_symmetry_space_group_name_H-M 'I -4 2 d'
_symmetry_Int_Tables_number 122
_symmetry_space_group_name_Hall 'I -4 2bw'
loop_
_atom_site_label
_atom_site_type_symbol
_atom_site_fract_x
_atom_site_fract_y
_atom_site_fract_z
_atom_site_occupancy
V1 V 0.0000 0.0000 0.0000 1
Ga1 Ga 0.0000 0.0000 0.5000 1
F1 F 0.0851 0.2500 0.1250 1
```

Summary:
Calculated total energy (eV per atom): -4.86


No. 2
## V2GaF (PBE with a Hubbard U)

Data for a relaxed V2GaF crystal.

```
data_V2GaF
_chemical_formula_sum 'V8 Ga4 F4'
_cell_length_a 5.0754
_cell_length_b 5.0754
_cell_length_c 12.7089
_cell_angle_alpha 90.00
_cell_angle_beta 90.00
_cell_angle_gamma 90.00
_symmetry_space_group_name_H-M 'I -4 2 d'
_symmetry_Int_Tables_number 122
_symmetry_space_group_name_Hall 'I -4 2bw'
loop_
_atom_site_label
_atom_site_type_symbol
_atom_site_fract_x
_atom_site_fract_y
_atom_site_fract_z
_atom_site_occupancy
V1 V 0.1292 0.2500 0.1250 1
Ga1 Ga 0.0000 0.0000 0.5000 1
F1 F 0.0000 0.0000 0.0000 1
```

Summary:
Calculated total energy (eV per atom): -4.76


No. 3
## VGa2F (PBE with a Hubbard U)

Data for a relaxed VGa2F crystal.

```
data_VGa2F
_chemical_formula_sum 'V4 Ga8 F4'
_cell_length_a 8.4887
_cell_length_b 8.4887
_cell_length_c 4.2424
_cell_angle_alpha 90.00
_cell_angle_beta 90.00
_cell_angle_gamma 90.00
_symmetry_space_group_name_H-M 'I -4 2 d'
_symmetry_Int_Tables_number 122
_symmetry_space_group_name_Hall 'I -4 2bw'
loop_
_atom_site_label
_atom_site_type_symbol
_atom_site_fract_x
_atom_site_fract_y
_atom_site_fract_z
_atom_site_occupancy
V1 V 0.0000 0.0000 0.0000 1
Ga1 Ga 0.1685 0.2500 0.6250 1
F1 F 0.0000 0.0000 0.5000 1
```

Summary:
Calculated total energy (eV per atom): -4.11